(1)
# GaAsRuRh PBE-GGA relaxed
data_GaAsRuRh
_cell_length_a 6.1327
_cell_length_b 6.1327
_cell_length_c 6.1327
_cell_angle_alpha 90.00
_cell_angle_beta 90.00
_cell_angle_gamma 90.00
_space_group_name_H-M_alt 'F -4 3 m'
_space_group_IT_number 216
_space_group_name_Hall 'F -4 2 3'
loop_
_atom_site_label
_atom_site_type_symbol
_atom_site_fract_x
_atom_site_fract_y
_atom_site_fract_z
Ga1 Ga 0.0000 0.0000 0.0000
As1 As 0.0000 0.0000 0.5000
Ru1 Ru 0.2500 0.2500 0.2500
Rh1 Rh 0.2500 0.2500 0.7500
# - E: -6.3179 eV/atom
# - Energy relative to the elements: -0.24 eV per atom

***

(2)
# LiAcGe2Au5 PBE-GGA relaxed
data_LiAcGe2Au5
_cell_length_a 5.0295
_cell_length_b 5.0295
_cell_length_c 7.9491
_cell_angle_alpha 90.00
_cell_angle_beta 90.00
_cell_angle_gamma 90.00
_space_group_name_H-M_alt 'P 4/m m m'
_space_group_IT_number 123
_space_group_name_Hall '-P 4 2'
loop_
_atom_site_label
_atom_site_type_symbol
_atom_site_fract_x
_atom_site_fract_y
_atom_site_fract_z
Li1 Li 0.0000 0.0000 0.0000
Ac1 Ac 0.0000 0.0000 0.5000
Ge1 Ge 0.5000 0.5000 0.1653
Au1 Au 0.0000 0.5000 0.2234
Au2 Au 0.5000 0.5000 0.5000
# - E: -3.8422 eV/atom
# - Energy relative to the elements: -0.33 eV per atom

***

(3)
# Sr2LiHf PBE-GGA relaxed
data_Sr2LiHf
_cell_length_a 3.5001
_cell_length_b 3.5001
_cell_length_c 37.8711
_cell_angle_alpha 90.00
_cell_angle_beta 90.00
_cell_angle_gamma 120.00
_space_group_name_H-M_alt 'R -3 m'
_space_group_IT_number 166
_space_group_name_Hall '-R 3 2"'
loop_
_atom_site_label
_atom_site_type_symbol
_atom_site_fract_x
_atom_site_fract_y
_atom_site_fract_z
Sr1 Sr 0.0000 0.0000 0.0870
Li1 Li 0.0000 0.0000 0.5000
Hf1 Hf 0.0000 0.0000 0.0000
# - E: -3.1056 eV/atom
# - Energy relative to the elements: 0.70 eV per atom
# - Excess energy over the best structure of this formula in the dataset: 0.073 eV per atom

***

(4)
# Mo2HPtRh PBE-GGA relaxed
data_Mo2HPtRh
_cell_length_a 3.9277
_cell_length_b 3.9277
_cell_length_c 4.0704
_cell_angle_alpha 90.00
_cell_angle_beta 90.00
_cell_angle_gamma 90.00
_space_group_name_H-M_alt 'P 4/m m m'
_space_group_IT_number 123
_space_group_name_Hall '-P 4 2'
loop_
_atom_site_label
_atom_site_type_symbol
_atom_site_fract_x
_atom_site_fract_y
_atom_site_fract_z
Mo1 Mo 0.0000 0.5000 0.0000
H1 H 0.0000 0.0000 0.0000
Pt1 Pt 0.5000 0.5000 0.5000
Rh1 Rh 0.0000 0.0000 0.5000
# - E: -7.8266 eV/atom
# - Excess energy over the best structure of this formula in the dataset: 0.000 eV per atom

***

What is the E in the fourth record?
-7.8266 eV/atom

***

Which value of E does entry 1 give?
-6.3179 eV/atom

***

What did the third record say?
# Sr2LiHf PBE-GGA relaxed
data_Sr2LiHf
_cell_length_a 3.5001
_cell_length_b 3.5001
_cell_length_c 37.8711
_cell_angle_alpha 90.00
_cell_angle_beta 90.00
_cell_angle_gamma 120.00
_space_group_name_H-M_alt 'R -3 m'
_space_group_IT_number 166
_space_group_name_Hall '-R 3 2"'
loop_
_atom_site_label
_atom_site_type_symbol
_atom_site_fract_x
_atom_site_fract_y
_atom_site_fract_z
Sr1 Sr 0.0000 0.0000 0.0870
Li1 Li 0.0000 0.0000 0.5000
Hf1 Hf 0.0000 0.0000 0.0000
# - E: -3.1056 eV/atom
# - Energy relative to the elements: 0.70 eV per atom
# - Excess energy over the best structure of this formula in the dataset: 0.073 eV per atom

***

Among the records above, which one has the highest E?
Sr2LiHf